1.
First-principles (GGA-PBE) data for a relaxed KCo2SbH crystal, as listed in the Alexandria database.

a b c (Å): 4.504 6.116 4.504
angles (deg): 90.00 90.00 90.00
Element x y z (fractional)
Sb  0.000  0.500  0.000
K  0.000  0.000  0.000
Co  0.000  0.000  0.500
Co  0.500  0.000  0.000
H  0.500  0.500  0.500

## Properties
total energy	-1.9776	eV/atom

2.
First-principles (GGA-PBE) data for a relaxed CsTiBS2 crystal, as listed in the Alexandria database.

a b c (Å): 4.507 4.507 4.719
angles (deg): 90.00 90.00 90.00
Element x y z (fractional)
Cs  0.000  0.000  0.500
S  0.000  0.500  0.000
S  0.500  0.000  0.000
B  0.000  0.000  0.000
Ti  0.500  0.500  0.500

## Properties
ΔE_f (raw)	1068	meV/atom

3.
First-principles (GGA-PBE) data for a relaxed Co4Ge2P crystal, as listed in the Alexandria database.

a b c (Å): 4.084 4.084 6.717
angles (deg): 72.30 72.30 90.00
Element x y z (fractional)
P  0.000  0.000  0.000
Ge  0.367  0.367  0.266
Ge  0.633  0.633  0.734
Co  0.175  0.175  0.650
Co  0.825  0.825  0.350
Co  0.000  0.500  0.000
Co  0.500  0.000  0.000

## Properties
ΔH_f (0 K)	267	meV/atom

4.
First-principles (GGA-PBE) data for a relaxed Ce4ErU3P8 crystal, as listed in the Alexandria database.

a b c (Å): 8.013 8.062 8.012
angles (deg): 119.79 120.00 90.00
Element x y z (fractional)
Ce  0.500  0.000  0.000
Ce  0.500  0.000  0.500
Ce  0.000  0.000  0.000
Ce  0.000  0.000  0.500
Er  0.000  0.500  0.000
U  0.500  0.500  0.000
U  0.500  0.500  0.500
U  0.000  0.500  0.500
P  0.247  0.739  0.991
P  0.247  0.739  0.495
P  0.254  0.262  0.508
P  0.744  0.739  0.991
P  0.256  0.261  0.009
P  0.746  0.738  0.492
P  0.753  0.261  0.505
P  0.753  0.261  0.009

## Properties
ΔH_f (0 K)	-1305	meV/atom

5.
First-principles (GGA-PBE) data for a relaxed CeZnHg crystal, as listed in the Alexandria database.

a b c (Å): 5.226 3.839 9.378
angles (deg): 91.73 90.00 132.90
Element x y z (fractional)
Ce  0.290  0.581  0.930
Ce  0.710  0.419  0.070
Zn  0.774  0.549  0.737
Zn  0.226  0.451  0.263
Hg  0.256  0.512  0.590
Hg  0.744  0.488  0.410

## Properties
ΔH_f (0 K)	-39	meV/atom

6.
First-principles (GGA-PBE) data for a relaxed Li2Hg7 crystal, as listed in the Alexandria database.

a b c (Å): 5.737 5.737 7.435
angles (deg): 90.00 90.00 120.00
Element x y z (fractional)
Li  0.333  0.667  0.000
Li  0.667  0.333  0.000
Hg  0.000  0.000  0.000
Hg  0.644  0.000  0.314
Hg  0.000  0.644  0.314
Hg  0.356  0.356  0.314
Hg  0.000  0.356  0.686
Hg  0.356  0.000  0.686
Hg  0.644  0.644  0.686

## Properties
ΔH_f (0 K)	-126	meV/atom

7.
First-principles (GGA-PBE) data for a relaxed DyMnH crystal, as listed in the Alexandria database.

a b c (Å): 3.057 3.390 8.221
angles (deg): 90.00 100.71 90.00
Element x y z (fractional)
H  0.451  0.250  0.901
H  0.549  0.750  0.099
Mn  0.756  0.250  0.511
Mn  0.244  0.750  0.489
Dy  0.903  0.750  0.805
Dy  0.097  0.250  0.195

## Properties
total energy	-5.6306	eV/atom

8.
First-principles (GGA-PBE) data for a relaxed HgAsSe2 crystal, as listed in the Alexandria database.

a b c (Å): 12.168 12.168 12.168
angles (deg): 14.13 14.13 14.13
Element x y z (fractional)
As  0.000  0.000  0.000
Hg  0.500  0.500  0.500
Se  0.925  0.925  0.925
Se  0.075  0.075  0.075

## Properties
ΔE_f (raw)	271	meV/atom
excess energy over the best structure of this formula in the dataset	338	meV per atom

9.
First-principles (GGA-PBE) data for a relaxed Sm2ThScBi4 crystal, as listed in the Alexandria database.

a b c (Å): 4.518 7.776 7.823
angles (deg): 109.52 90.00 90.00
Element x y z (fractional)
Sm  0.500  0.000  0.500
Sm  0.000  0.500  0.500
Th  0.000  0.000  0.000
Sc  0.500  0.500  0.000
Bi  0.500  0.259  0.246
Bi  0.500  0.741  0.754
Bi  0.000  0.264  0.762
Bi  0.000  0.736  0.238

## Properties
ΔH_f (0 K)	-762	meV/atom

10.
First-principles (GGA-PBE) data for a relaxed Tb5Sm2ThSc crystal, as listed in the Alexandria database.

a b c (Å): 5.681 11.287 9.498
angles (deg): 90.00 90.00 104.58
Element x y z (fractional)
Tb  0.394  0.789  0.046
Tb  0.732  0.464  0.829
Tb  0.471  0.943  0.748
Tb  0.304  0.608  0.719
Tb  0.987  0.974  0.511
Tb  0.606  0.211  0.546
Tb  0.268  0.536  0.329
Tb  0.529  0.057  0.248
Tb  0.696  0.392  0.219
Tb  0.013  0.026  0.011
Sm  0.885  0.770  0.819
Sm  0.134  0.267  0.709
Sm  0.115  0.230  0.319
Sm  0.866  0.733  0.209
Th  0.600  0.199  0.929
Th  0.400  0.801  0.429
Sc  0.810  0.619  0.514
Sc  0.190  0.381  0.014

## Properties
ΔH_f (0 K)	170	meV/atom

11.
First-principles (GGA-PBE) data for a relaxed Dy2Si4Ru3 crystal, as listed in the Alexandria database.

a b c (Å): 7.028 6.643 6.655
angles (deg): 90.00 90.00 111.45
Element x y z (fractional)
Dy  0.562  0.189  0.330
Dy  0.938  0.811  0.830
Dy  0.438  0.811  0.670
Dy  0.062  0.189  0.170
Si  0.876  0.108  0.567
Si  0.624  0.892  0.067
Si  0.124  0.892  0.433
Si  0.376  0.108  0.933
Si  0.880  0.524  0.152
Si  0.620  0.476  0.652
Si  0.120  0.476  0.848
Si  0.380  0.524  0.348
Ru  0.000  0.500  0.500
Ru  0.500  0.500  0.000
Ru  0.752  0.241  0.870
Ru  0.748  0.759  0.370
Ru  0.248  0.759  0.130
Ru  0.252  0.241  0.630

## Properties
ΔE_f (raw)	-768	meV/atom

12.
First-principles (GGA-PBE) data for a relaxed YMn4Al8 crystal, as listed in the Alexandria database.

a b c (Å): 6.685 6.685 6.685
angles (deg): 97.85 97.85 136.63
Element x y z (fractional)
Al  0.658  0.000  0.658
Al  0.342  0.000  0.342
Al  0.000  0.342  0.342
Al  0.000  0.658  0.658
Al  0.718  0.500  0.218
Al  0.282  0.500  0.782
Al  0.500  0.282  0.782
Al  0.500  0.718  0.218
Mn  0.000  0.500  0.000
Mn  0.500  0.000  0.000
Mn  0.500  0.500  0.500
Mn  0.000  0.000  0.500
Y  0.000  0.000  0.000

## Properties
ΔH_f (0 K)	-339	meV/atom

13.
First-principles (GGA-PBE) data for a relaxed ZrCd2Se crystal, as listed in the Alexandria database.

a b c (Å): 3.816 4.142 5.609
angles (deg): 90.00 90.00 90.00
Element x y z (fractional)
Cd  0.000  0.000  0.997
Cd  0.000  0.000  0.503
Se  0.500  0.500  0.250
Zr  0.500  0.500  0.750

## Properties
ΔE_f (raw)	-133	meV/atom

14.
First-principles (GGA-PBE) data for a relaxed Rb2AcReN4 crystal, as listed in the Alexandria database.

a b c (Å): 6.111 8.146 7.304
angles (deg): 90.00 90.00 90.00
Element x y z (fractional)
Rb  0.469  0.359  0.263
Rb  0.469  0.359  0.737
Rb  0.969  0.641  0.763
Rb  0.969  0.641  0.237
Ac  0.991  0.101  0.500
Ac  0.491  0.899  0.000
Re  0.507  0.834  0.500
Re  0.007  0.166  0.000
N  0.305  0.157  0.000
N  0.805  0.843  0.500
N  0.404  0.047  0.500
N  0.904  0.953  0.000
N  0.427  0.726  0.713
N  0.927  0.274  0.213
N  0.927  0.274  0.787
N  0.427  0.726  0.287

## Properties
ΔE_f (raw)	-524	meV/atom

15.
First-principles (GGA-PBE) data for a relaxed Na2Ag3Se2 crystal, as listed in the Alexandria database.

a b c (Å): 4.338 5.714 7.198
angles (deg): 109.61 90.00 112.31
Element x y z (fractional)
Na  0.868  0.737  0.223
Na  0.132  0.263  0.777
Ag  0.500  0.000  0.000
Ag  0.613  0.226  0.437
Ag  0.387  0.774  0.563
Se  0.834  0.667  0.784
Se  0.166  0.333  0.216

## Properties
ΔE_f (raw)	-348	meV/atom

16.
First-principles (GGA-PBE) data for a relaxed KW2 crystal, as listed in the Alexandria database.

a b c (Å): 8.787 8.787 8.787
angles (deg): 162.34 162.34 25.08
Element x y z (fractional)
K  0.000  0.000  0.000
W  0.316  0.316  0.000
W  0.684  0.684  0.000

## Properties
ΔH_f (0 K)	1330	meV/atom
excess energy over the best structure of this formula in the dataset	340	meV per atom

17.
First-principles (GGA-PBE) data for a relaxed Li4Tb3USe8 crystal, as listed in the Alexandria database.

a b c (Å): 8.168 8.042 8.167
angles (deg): 120.54 120.00 90.00
Element x y z (fractional)
Li  0.500  0.000  0.000
Li  0.500  0.000  0.500
Li  0.000  0.000  0.000
Li  0.000  0.000  0.500
Tb  0.500  0.500  0.000
Tb  0.500  0.500  0.500
Tb  0.000  0.500  0.500
U  0.000  0.500  0.000
Se  0.252  0.756  0.004
Se  0.252  0.756  0.505
Se  0.248  0.245  0.497
Se  0.752  0.756  0.004
Se  0.248  0.244  0.996
Se  0.752  0.755  0.503
Se  0.748  0.244  0.495
Se  0.748  0.244  0.996

## Properties
ΔE_f (raw)	-1553	meV/atom

18.
First-principles (GGA-PBE) data for a relaxed La6TmTl2 crystal, as listed in the Alexandria database.

a b c (Å): 3.519 10.000 10.000
angles (deg): 57.57 79.87 79.87
Element x y z (fractional)
La  0.332  0.985  0.350
La  0.668  0.015  0.650
La  0.668  0.650  0.015
La  0.500  0.333  0.667
La  0.500  0.667  0.333
La  0.332  0.350  0.985
Tm  0.000  0.000  0.000
Tl  0.156  0.344  0.344
Tl  0.844  0.656  0.656

## Properties
ΔH_f (0 K)	-88	meV/atom
excess energy over the best structure of this formula in the dataset	84	meV per atom

19.
First-principles (GGA-PBE) data for a relaxed AcU2N4 crystal, as listed in the Alexandria database.

a b c (Å): 3.533 6.003 11.006
angles (deg): 90.00 90.00 107.11
Element x y z (fractional)
Ac  0.608  0.216  0.750
Ac  0.392  0.784  0.250
U  0.132  0.263  0.433
U  0.868  0.737  0.933
U  0.132  0.263  0.067
U  0.868  0.737  0.567
N  0.766  0.533  0.098
N  0.766  0.533  0.402
N  0.234  0.467  0.902
N  0.234  0.467  0.598
N  0.944  0.888  0.750
N  0.056  0.112  0.250
N  0.500  0.000  0.000
N  0.500  0.000  0.500

## Properties
ΔE_f (raw)	-1324	meV/atom
excess energy over the best structure of this formula in the dataset	9	meV per atom

20.
First-principles (GGA-PBE) data for a relaxed CeGdCuIr crystal, as listed in the Alexandria database.

a b c (Å): 4.942 4.942 4.942
angles (deg): 60.00 60.00 60.00
Element x y z (fractional)
Gd  0.500  0.500  0.500
Ir  0.750  0.750  0.750
Cu  0.250  0.250  0.250
Ce  0.000  0.000  0.000

## Properties
ΔH_f (0 K)	-460	meV/atom

| no. | spin magnetization (μB per formula unit) |
| --- | --- |
| 1 | 2.8 |
| 2 | 0.0 |
| 3 | 3.4 |
| 4 | 9.2 |
| 5 | 0.0 |
| 6 | 0.0 |
| 7 | 0.0 |
| 8 | 0.0 |
| 9 | 0.0 |
| 10 | 0.0 |
| 11 | 0.0 |
| 12 | 0.0 |
| 13 | 0.0 |
| 14 | 0.0 |
| 15 | 0.0 |
| 16 | 0.0 |
| 17 | 3.0 |
| 18 | 0.0 |
| 19 | 2.7 |
| 20 | 7.4 |